Entry 1:
DFT (PBE) results for crystalline Sr2GaBiO5 at its relaxed geometry.

It has space group Cmc2_1 (No. 36), with a = 3.403 Å, b = 16.819 Å, c = 9.919 Å, α = 90.00°, β = 90.00° and γ = 90.00°. The inequivalent atoms are Sr at (0.000, 0.099, 0.000), Sr at (0.000, 0.110, 0.621), Ga at (0.000, 0.448, 0.770), Bi at (0.000, 0.224, 0.331), O at (0.000, 0.039, 0.360), O at (0.000, 0.296, 0.986), O at (0.000, 0.346, 0.686), O at (0.000, 0.355, 0.322) and O at (0.000, 0.496, 0.109).

As for the uncorrected formation energy: -2.0821 eV/atom. The value obtained for the energy is -53.80 eV/f.u.

Entry 2:
DFT (PBE) results for crystalline MnNbNi6 at its relaxed geometry.

It has space group Cmmm (No. 65), with a = 7.265 Å, b = 10.271 Å, c = 10.267 Å, α = 90.00°, β = 90.00° and γ = 90.00°. The inequivalent atoms are Mn at (0.000, 0.000, 0.245), Mn at (0.000, 0.253, 0.000), Nb at (0.000, 0.253, 0.500), Nb at (0.000, 0.500, 0.244), Ni at (0.000, 0.000, 0.000), Ni at (0.000, 0.000, 0.500), Ni at (0.000, 0.249, 0.249), Ni at (0.000, 0.500, 0.000), Ni at (0.000, 0.500, 0.500), Ni at (0.248, 0.124, 0.374) and Ni at (0.248, 0.126, 0.124).

Its formation enthalpy at 0 K is -1.54 eV per formula unit. The value obtained for the energy is -55.46 eV/f.u.

Entry 3:
DFT (PBE) results for crystalline KCaP2O at its relaxed geometry.

It has space group P4/mmm (No. 123), with a = 5.578 Å, b = 5.578 Å, c = 4.479 Å, α = 90.00°, β = 90.00° and γ = 90.00°. The inequivalent atoms are K at (0.000, 0.000, 0.000), Ca at (0.500, 0.500, 0.500), P at (0.000, 0.500, 0.500) and O at (0.500, 0.500, 0.000).

As for the uncorrected formation energy: 0.0685 eV/atom. The value obtained for the energy is -18.53 eV/f.u.

Entry 4:
DFT (PBE) results for crystalline MgBiCl3 at its relaxed geometry.

It has space group Pm-3m (No. 221), with a = 5.552 Å, b = 5.552 Å, c = 5.552 Å, α = 90.00°, β = 90.00° and γ = 90.00°. The inequivalent atoms are Mg at (0.000, 0.000, 0.000), Bi at (0.500, 0.500, 0.500) and Cl at (0.000, 0.500, 0.500).

As for the uncorrected formation energy: -0.4816 eV/atom. The value obtained for the energy is -13.42 eV/f.u.

Entry 5:
DFT (PBE) results for crystalline Cd2SbAs at its relaxed geometry.

It has space group C2/m (No. 12), with a = 6.107 Å, b = 7.945 Å, c = 4.558 Å, α = 90.00°, β = 114.88° and γ = 90.00°. The inequivalent atoms are Cd at (0.250, 0.250, 0.000), Sb at (0.000, 0.000, 0.500) and As at (0.000, 0.500, 0.500).

As for the uncorrected formation energy: 0.1215 eV/atom. The value obtained for the energy is -10.12 eV/f.u.

Entry 6:
DFT (PBE) results for crystalline PuPa2InPt4 at its relaxed geometry.

It has space group R-3m (No. 166, hexagonal axes), with a = 4.7656 Å, b = 4.7656 Å, c = 25.7590 Å, α = 90.00°, β = 90.00° and γ = 120.00°. The inequivalent atoms are Pu at (0.0000, 0.0000, 0.0000), Pa at (0.0000, 0.0000, 0.2472), In at (0.0000, 0.0000, 0.5000), Pt at (0.0000, 0.0000, 0.1309) and Pt at (0.0000, 0.0000, 0.3726).

Its formation enthalpy at 0 K is -6.13 eV per formula unit. The value obtained for the energy is -66.35 eV/f.u.

Entry 7:
DFT (PBE) results for crystalline FePb2Br at its relaxed geometry.

It has space group P2/m (No. 10), with a = 3.533 Å, b = 3.535 Å, c = 8.034 Å, α = 90.00°, β = 91.70° and γ = 90.00°. The inequivalent atoms are Fe at (0.000, 0.000, 0.000), Pb at (0.491, 0.500, 0.791) and Br at (0.000, 0.000, 0.500).

As for the uncorrected formation energy: 0.2211 eV/atom. The value obtained for the energy is -16.67 eV/f.u.

Entry 8:
DFT (PBE) results for crystalline Ni2AgPt2 at its relaxed geometry.

It has space group I4/mmm (No. 139), with a = 3.784 Å, b = 3.784 Å, c = 11.102 Å, α = 90.00°, β = 90.00° and γ = 90.00°. The inequivalent atoms are Ni at (0.000, 0.000, 0.100), Ag at (0.000, 0.000, 0.500) and Pt at (0.000, 0.500, 0.250).

Its formation enthalpy at 0 K is 1.35 eV per formula unit. The value obtained for the energy is -25.14 eV/f.u.